Run 1
First-principles (PBE-GGA) data for a relaxed structure of HfGeH, as listed in Alexandria via LeMat-Bulk.

Values from the calculation:
Magnetization ... 0.0 μB/f.u.
Fermi-level density of states ... 0.155 states/eV/atom

abc: 3.6810 5.2903 5.3375
angles: 119.39 110.16 69.62
With the nearest neighbours (Å) after each atom.
Sites, in units of the cell vectors:
Hf 0.3024 0.2228 0.3273  3 H 2.00-2.06
Hf 0.6977 0.7772 0.6727  3 H 2.00-2.06
H 0.2975 0.6006 0.6953  3 Hf 2.00-2.06
H 0.7026 0.3994 0.3047  3 Hf 2.00-2.06
Ge 0.0176 0.2392 0.7741  2 Ge 2.62-2.77, 3 H 2.71-2.78, 6 Hf 2.81-2.92
Ge 0.9824 0.7608 0.2259  2 Ge 2.62-2.77, 3 H 2.71-2.78, 6 Hf 2.81-2.92



Run 2
First-principles (PBE-GGA) data for a relaxed structure of HfGeH, as listed in Alexandria via LeMat-Bulk.

Values from the calculation:
Magnetization ... 0.0 μB/f.u.
Fermi-level density of states ... 0.411 states/eV/atom

abc: 3.9937 3.4501 3.4501
angles: 120.00 90.00 90.00
With the nearest neighbours (Å) after each atom.
Sites, in units of the cell vectors:
Hf 0.1670 0.6667 0.3333  3 H 1.99
Ge 0.6669 0.3333 0.6667  6 H 2.82, 6 Hf 2.82
H 0.1660 0.0000 0.0000  3 Hf 1.99



Run 3
First-principles (PBE-GGA) data for a relaxed structure of HfGeH, as listed in Alexandria via LeMat-Bulk.

Values from the calculation:
Magnetization ... 0.0 μB/f.u.
Fermi-level density of states ... 0.312 states/eV/atom

abc: 3.4617 5.7645 8.1631
angles: 90.00 90.00 90.00
With the nearest neighbours (Å) after each atom.
Sites, in units of the cell vectors:
H 0.2500 0.6060 0.2724  3 Hf 1.98-1.99
H 0.7500 0.1060 0.2276  3 Hf 1.98-1.99
H 0.7500 0.3940 0.7276  3 Hf 1.98-1.99
H 0.2500 0.8940 0.7724  3 Hf 1.98-1.99
Ge 0.2500 0.1758 0.5068  2 Ge 2.67, 5 H 2.71-2.89, 6 Hf 2.77-2.96
Ge 0.7500 0.8242 0.4932  2 Ge 2.67, 5 H 2.71-2.89, 6 Hf 2.77-2.96
Ge 0.7500 0.6758 0.9932  2 Ge 2.67, 5 H 2.71-2.89, 6 Hf 2.77-2.96
Ge 0.2500 0.3242 0.0068  2 Ge 2.67, 5 H 2.71-2.89, 6 Hf 2.77-2.96
Hf 0.2500 0.9404 0.2107  3 H 1.98-1.99
Hf 0.2500 0.5596 0.7107  3 H 1.98-1.99
Hf 0.7500 0.4404 0.2893  3 H 1.98-1.99
Hf 0.7500 0.0596 0.7893  3 H 1.98-1.99



Tell me which of them is the most stable. Sure, it is run 1.



Run 1
First-principles (PBE-GGA) data for a relaxed structure of Hf3GeH, as listed in Alexandria via LeMat-Bulk.

Values from the calculation:
Magnetization ... 0.0 μB/f.u.
Fermi-level density of states ... 0.668 states/eV/atom

abc: 3.6246 6.4237 7.4675
angles: 98.99 90.00 90.00
With the nearest neighbours (Å) after each atom.
Sites, in units of the cell vectors:
Hf 0.2500 0.7274 0.0653  1 H 2.18
Hf 0.7500 0.6172 0.3805  2 H 2.35
Hf 0.2500 0.3828 0.6195  2 H 2.35
Hf 0.7500 0.2726 0.9347  1 H 2.18
Hf 0.7500 0.0839 0.3544  3 H 2.14-2.38
Hf 0.2500 0.9161 0.6456  3 H 2.14-2.38
H 0.7500 0.1551 0.6446  6 Hf 2.14-2.38
H 0.2500 0.8449 0.3554  6 Hf 2.14-2.38
Ge 0.2500 0.3369 0.2116  8 Hf 2.72-3.01
Ge 0.7500 0.6631 0.7884  8 Hf 2.72-3.01



Run 2
First-principles (PBE-GGA) data for a relaxed structure of Hf3GeH, as listed in Alexandria via LeMat-Bulk.

Values from the calculation:
Magnetization ... 0.0 μB/f.u.
Fermi-level density of states ... 1.063 states/eV/atom

abc: 4.3308 4.3308 4.3308
angles: 90.00 90.00 90.00
With the nearest neighbours (Å) after each atom.
Sites, in units of the cell vectors:
Hf 0.0000 0.0000 0.5000  2 H 2.17
Hf 0.5000 0.0000 0.0000  2 H 2.17
Hf 0.0000 0.5000 0.0000  2 H 2.17
Ge 0.5000 0.5000 0.5000  12 Hf 3.06
H 0.0000 0.0000 0.0000  6 Hf 2.17



Tell me which of them is the most stable. Sure, it is run 1.



Run 1
First-principles (PBE-GGA) data for a relaxed structure of HfGeH3, as listed in Alexandria via LeMat-Bulk.

Values from the calculation:
Magnetization ... 0.0 μB/f.u.
Fermi-level density of states ... 0.533 states/eV/atom

abc: 3.6400 3.6400 3.6400
angles: 90.00 90.00 90.00
With the nearest neighbours (Å) after each atom.
Sites, in units of the cell vectors:
Ge 0.0000 0.0000 0.0000  6 H 1.82
H 0.0000 0.0000 0.5000  2 Ge 1.82
H 0.5000 0.0000 0.0000  2 Ge 1.82
H 0.0000 0.5000 0.0000  2 Ge 1.82
Hf 0.5000 0.5000 0.5000  12 H 2.57



Run 2
First-principles (PBE-GGA) data for a relaxed structure of HfGeH3, as listed in Alexandria via LeMat-Bulk.

Values from the calculation:
Magnetization ... 0.0 μB/f.u.
Fermi-level density of states ... 0.375 states/eV/atom

abc: 3.7733 3.7733 3.7733
angles: 90.00 90.00 90.00
With the nearest neighbours (Å) after each atom.
Sites, in units of the cell vectors:
H 0.5000 0.0000 0.0000  2 Hf 1.89
H 0.0000 0.5000 0.0000  2 Hf 1.89
H 0.0000 0.0000 0.5000  2 Hf 1.89
Hf 0.0000 0.0000 0.0000  6 H 1.89
Ge 0.5000 0.5000 0.5000  12 H 2.67



Tell me which of them is the most stable. Sure, it is run 2.



Run 1
First-principles (PBE-GGA) data for a relaxed structure of Hf2GeH, as listed in Alexandria via LeMat-Bulk.

Values from the calculation:
Magnetization ... 0.0 μB/f.u.
Fermi-level density of states ... 0.536 states/eV/atom

abc: 3.1926 3.7699 7.5978
angles: 60.38 63.12 54.08
With the nearest neighbours (Å) after each atom.
Sites, in units of the cell vectors:
H 0.1855 0.8226 0.1629  4 Hf 2.00-2.06
Hf 0.4824 0.2587 0.0790  3 H 2.02-2.06
Hf 0.1596 0.5307 0.4686  1 H 2.00
Ge 0.8770 0.8726 0.7680  6 Hf 2.71-3.01, 1 H 2.80



Run 2
First-principles (PBE-GGA) data for a relaxed structure of Hf2GeH, as listed in Alexandria via LeMat-Bulk.

Values from the calculation:
Magnetization ... 0.0 μB/f.u.
Fermi-level density of states ... 0.726 states/eV/atom

abc: 3.6765 3.6765 7.1074
angles: 75.01 75.01 60.00
With the nearest neighbours (Å) after each atom.
Sites, in units of the cell vectors:
Ge 0.5000 0.5000 0.5000  6 Hf 2.64
Hf 0.9107 0.9107 0.2679  1 H 1.82
Hf 0.0893 0.0893 0.7321  1 H 1.82
H 0.0000 0.0000 0.0000  2 Hf 1.82



Run 3
First-principles (PBE-GGA) data for a relaxed structure of Hf2GeH, as listed in Alexandria via LeMat-Bulk.

Values from the calculation:
Magnetization ... 0.0 μB/f.u.
Fermi-level density of states ... 0.641 states/eV/atom

abc: 4.5040 4.5040 4.5040
angles: 60.00 60.00 60.00
With the nearest neighbours (Å) after each atom.
Sites, in units of the cell vectors:
Hf 0.2500 0.2500 0.2500  4 Ge 2.76, 4 H 2.76
Hf 0.7500 0.7500 0.7500  4 Ge 2.76, 4 H 2.76
Ge 0.5000 0.5000 0.5000  8 Hf 2.76
H 0.0000 0.0000 0.0000  8 Hf 2.76



Tell me which of them is the most stable. Sure, it is run 1.



Run 1
First-principles (PBE-GGA) data for a relaxed structure of Hf2GeH2, as listed in Alexandria via LeMat-Bulk.

Values from the calculation:
Magnetization ... 0.0 μB/f.u.
Fermi-level density of states ... 0.486 states/eV/atom

abc: 5.4303 5.4303 5.6504
angles: 107.19 107.19 112.66
With the nearest neighbours (Å) after each atom.
Sites, in units of the cell vectors:
Hf 0.8327 0.6673 0.2500  4 H 2.04-2.16
Hf 0.5833 0.9167 0.7500  4 H 2.04-2.17
Hf 0.4167 0.0833 0.2500  4 H 2.04-2.17
Hf 0.1673 0.3327 0.7500  4 H 2.04-2.16
Ge 0.1247 0.3753 0.2500  6 Hf 2.64-2.85
Ge 0.8753 0.6247 0.7500  6 Hf 2.64-2.85
H 0.2629 0.0132 0.5267  4 Hf 2.04-2.17, 1 H 2.14
H 0.4868 0.2371 0.9733  4 Hf 2.04-2.17, 1 H 2.14
H 0.5132 0.7629 0.0267  4 Hf 2.04-2.17, 1 H 2.14
H 0.7371 0.9868 0.4733  4 Hf 2.04-2.17, 1 H 2.14



Run 2
First-principles (PBE-GGA) data for a relaxed structure of Hf2GeH2, as listed in Alexandria via LeMat-Bulk.

Values from the calculation:
Magnetization ... 0.0 μB/f.u.
Fermi-level density of states ... 0.164 states/eV/atom

abc: 6.4964 6.4964 3.0037
angles: 90.00 90.00 90.00
With the nearest neighbours (Å) after each atom.
Sites, in units of the cell vectors:
Hf 0.8385 0.3385 0.5000  4 H 2.29
Hf 0.1615 0.6615 0.5000  4 H 2.29
Hf 0.3385 0.1615 0.5000  4 H 2.29
Hf 0.6615 0.8385 0.5000  4 H 2.29
H 0.9025 0.5975 0.0000  1 H 1.79
H 0.5975 0.0975 0.0000  1 H 1.79
H 0.0975 0.4025 0.0000  1 H 1.79
H 0.4025 0.9025 0.0000  1 H 1.79
Ge 0.0000 0.0000 0.0000  4 H 2.69, 8 Hf 2.86, 2 Ge 3.00
Ge 0.5000 0.5000 0.0000  4 H 2.69, 8 Hf 2.86, 2 Ge 3.00



Run 3
First-principles (PBE-GGA) data for a relaxed structure of Hf2GeH2, as listed in Alexandria via LeMat-Bulk.

Values from the calculation:
Magnetization ... 0.0 μB/f.u.
Fermi-level density of states ... 0.356 states/eV/atom

abc: 4.1575 4.1575 4.9268
angles: 65.04 65.04 90.00
With the nearest neighbours (Å) after each atom.
Sites, in units of the cell vectors:
Hf 0.2500 0.7500 0.5000  4 H 2.19
Hf 0.7500 0.2500 0.5000  4 H 2.19
H 0.3359 0.3359 0.3282  4 Hf 2.19
H 0.6641 0.6641 0.6718  4 Hf 2.19
Ge 0.0000 0.0000 0.0000  2 H 2.66, 8 Hf 2.87



Tell me which of them is the most stable. Sure, it is run 1.



Run 1
First-principles (PBE-GGA) data for a relaxed structure of Hg2GeH, as listed in Alexandria via LeMat-Bulk.

Values from the calculation:
Magnetization ... 0.1 μB/f.u.
Fermi-level density of states ... 0.648 states/eV/atom

abc: 4.7580 4.7580 4.7580
angles: 60.00 60.00 60.00
With the nearest neighbours (Å) after each atom.
Sites, in units of the cell vectors:
Ge 0.5000 0.5000 0.5000  8 Hg 2.91
H 0.0000 0.0000 0.0000  8 Hg 2.91
Hg 0.2500 0.2500 0.2500  4 Ge 2.91, 4 H 2.91
Hg 0.7500 0.7500 0.7500  4 Ge 2.91, 4 H 2.91



Run 2
First-principles (PBE-GGA) data for a relaxed structure of Hg2GeH, as listed in Alexandria via LeMat-Bulk.

Values from the calculation:
Magnetization ... 0.0 μB/f.u.
Fermi-level density of states ... 0.445 states/eV/atom

abc: 5.1322 5.1322 7.2836
angles: 69.37 69.37 90.00
With the nearest neighbours (Å) after each atom.
Sites, in units of the cell vectors:
Hg 0.8750 0.7829 0.7500  2 H 2.19
Hg 0.3750 0.4671 0.7500  2 H 2.19
Hg 0.2171 0.6250 0.2500  2 H 2.19
Hg 0.5329 0.1250 0.2500  2 H 2.19
Ge 0.0000 0.0000 0.0000  4 Hg 2.69
Ge 0.7500 0.2500 0.5000  4 Hg 2.69
H 0.2500 0.7500 0.5000  4 Hg 2.19
H 0.5000 0.5000 0.0000  4 Hg 2.19



Tell me which of them is the most stable. Sure, it is run 2.